DFT (PBE) results for crystalline BaMgHg at its relaxed geometry.

Computed properties:
The calculated total energy comes out at -1.542 eV per atom. For the volume, the calculation gives 195 Å³/cell. For the spin magnetization, the calculation gives 0.0 μB/f.u.

Lattice parameters (Å, degrees): 3.9923 3.9923 12.2480 90.00 90.00 90.00
Fractional positions:
Ba1 0.0000 0.0000 0.0000
Ba2 0.5000 0.5000 0.5000
Mg1 0.0000 0.0000 0.2931
Mg2 0.5000 0.5000 0.7931
Hg1 0.0000 0.0000 0.6936
Hg2 0.5000 0.5000 0.1936

---

DFT (PBE) results for crystalline Ba3Mg8Hg at its relaxed geometry.

Computed properties:
The calculated total energy comes out at -1.629 eV per atom. For the volume, the calculation gives 379 Å³/cell. For the spin magnetization, the calculation gives 0.0 μB/f.u.

Lattice parameters (Å, degrees): 11.1520 11.1520 11.1520 33.64 33.64 33.64
Fractional positions:
Ba1 0.0000 0.0000 0.0000
Ba2 0.1288 0.1288 0.1288
Ba3 0.6155 0.6155 0.6155
Mg1 0.0599 0.0599 0.5601
Mg2 0.0599 0.5601 0.0599
Mg3 0.0665 0.5626 0.5626
Mg4 0.3110 0.3110 0.3110
Mg5 0.5601 0.0599 0.0599
Mg6 0.5626 0.0665 0.5626
Mg7 0.5626 0.5626 0.0665
Mg8 0.8127 0.8127 0.8127
Hg1 0.4904 0.4904 0.4904

---

DFT (PBE) results for crystalline BaMg4Hg4 at its relaxed geometry.

Computed properties:
The calculated total energy comes out at -1.343 eV per atom. For the volume, the calculation gives 477 Å³/cell. For the spin magnetization, the calculation gives 0.0 μB/f.u.

Lattice parameters (Å, degrees): 7.0239 7.0239 9.6694 90.00 90.00 90.00
Fractional positions:
Ba1 0.2500 0.7500 0.2500
Ba2 0.7500 0.2500 0.7500
Mg1 0.0139 0.2500 0.1411
Mg2 0.2500 0.0139 0.6411
Mg3 0.2500 0.4861 0.6411
Mg4 0.4861 0.2500 0.1411
Mg5 0.5139 0.7500 0.8589
Mg6 0.7500 0.5139 0.3589
Mg7 0.7500 0.9861 0.3589
Mg8 0.9861 0.7500 0.8589
Hg1 0.0396 0.2500 0.4371
Hg2 0.2500 0.0396 0.9371
Hg3 0.2500 0.4604 0.9371
Hg4 0.4604 0.2500 0.4371
Hg5 0.5396 0.7500 0.5629
Hg6 0.7500 0.5396 0.0629
Hg7 0.7500 0.9604 0.0629
Hg8 0.9604 0.7500 0.5629

---

DFT (PBE) results for crystalline Ba4Mg2Hg at its relaxed geometry.

Computed properties:
The calculated total energy comes out at -1.712 eV per atom. For the volume, the calculation gives 636 Å³/cell. For the spin magnetization, the calculation gives 0.0 μB/f.u.

Lattice parameters (Å, degrees): 8.6576 8.6576 8.4854 90.00 90.00 90.00
Fractional positions:
Ba1 0.2500 0.2500 0.2500
Ba2 0.2500 0.2500 0.7500
Ba3 0.2500 0.7500 0.2500
Ba4 0.2500 0.7500 0.7500
Ba5 0.7500 0.2500 0.2500
Ba6 0.7500 0.2500 0.7500
Ba7 0.7500 0.7500 0.2500
Ba8 0.7500 0.7500 0.7500
Mg1 0.0000 0.5000 0.0000
Mg2 0.0000 0.5000 0.5000
Mg3 0.5000 0.0000 0.0000
Mg4 0.5000 0.0000 0.5000
Hg1 0.0000 0.0000 0.0000
Hg2 0.5000 0.5000 0.5000

---

DFT (PBE) results for crystalline BaMg3Hg2 at its relaxed geometry.

Computed properties:
The calculated total energy comes out at -1.523 eV per atom. For the volume, the calculation gives 339 Å³/cell. For the spin magnetization, the calculation gives 0.0 μB/f.u.

Lattice parameters (Å, degrees): 9.3182 9.3182 8.9689 114.14 114.14 28.70
Fractional positions:
Ba1 0.1492 0.1492 0.0626
Ba2 0.8508 0.8508 0.9374
Mg1 0.0426 0.0426 0.3789
Mg2 0.3166 0.3166 0.5530
Mg3 0.4095 0.4095 0.3292
Mg4 0.5905 0.5905 0.6708
Mg5 0.6834 0.6834 0.4470
Mg6 0.9574 0.9574 0.6211
Hg1 0.1936 0.1936 0.6851
Hg2 0.4774 0.4774 0.8229
Hg3 0.5226 0.5226 0.1771
Hg4 0.8064 0.8064 0.3149

---

DFT (PBE) results for crystalline Ba3MgHg at its relaxed geometry.

Computed properties:
The calculated total energy comes out at -1.517 eV per atom. For the volume, the calculation gives 284 Å³/cell. For the spin magnetization, the calculation gives 0.6 μB/f.u.

Lattice parameters (Å, degrees): 6.5722 6.5722 6.5722 90.00 90.00 90.00
Fractional positions:
Ba1 0.0000 0.0000 0.5000
Ba2 0.0000 0.5000 0.0000
Ba3 0.5000 0.0000 0.0000
Mg1 0.5000 0.5000 0.5000
Hg1 0.0000 0.0000 0.0000

---

DFT (PBE) results for crystalline Ba3MgHg at its relaxed geometry.

Computed properties:
The calculated total energy comes out at -1.757 eV per atom. For the volume, the calculation gives 442 Å³/cell. For the spin magnetization, the calculation gives 0.0 μB/f.u.

Lattice parameters (Å, degrees): 6.0868 12.2985 12.2985 151.34 90.00 90.00
Fractional positions:
Ba1 0.2500 0.0734 0.9266
Ba2 0.2500 0.2498 0.7499
Ba3 0.2500 0.4257 0.5739
Ba4 0.7500 0.5739 0.4257
Ba5 0.7500 0.7499 0.2498
Ba6 0.7500 0.9266 0.0734
Mg1 0.2500 0.8407 0.1579
Mg2 0.7500 0.1579 0.8407
Hg1 0.2500 0.6569 0.3436
Hg2 0.7500 0.3436 0.6569

---

DFT (PBE) results for crystalline BaMgHg2 at its relaxed geometry.

Computed properties:
The calculated total energy comes out at -1.279 eV per atom. For the volume, the calculation gives 248 Å³/cell. For the spin magnetization, the calculation gives 0.0 μB/f.u.

Lattice parameters (Å, degrees): 4.3575 5.6318 10.1183 90.00 90.00 90.00
Fractional positions:
Ba1 0.0000 0.0000 0.0000
Ba2 0.5000 0.5000 0.5000
Mg1 0.0000 0.5000 0.2152
Mg2 0.5000 0.0000 0.7152
Hg1 0.0000 0.0000 0.5120
Hg2 0.0000 0.5000 0.7747
Hg3 0.5000 0.0000 0.2747
Hg4 0.5000 0.5000 0.0120

---

Please write out number 7 again, unchanged.
DFT (PBE) results for crystalline Ba3MgHg at its relaxed geometry.

Computed properties:
The calculated total energy comes out at -1.757 eV per atom. For the volume, the calculation gives 442 Å³/cell. For the spin magnetization, the calculation gives 0.0 μB/f.u.

Lattice parameters (Å, degrees): 6.0868 12.2985 12.2985 151.34 90.00 90.00
Fractional positions:
Ba1 0.2500 0.0734 0.9266
Ba2 0.2500 0.2498 0.7499
Ba3 0.2500 0.4257 0.5739
Ba4 0.7500 0.5739 0.4257
Ba5 0.7500 0.7499 0.2498
Ba6 0.7500 0.9266 0.0734
Mg1 0.2500 0.8407 0.1579
Mg2 0.7500 0.1579 0.8407
Hg1 0.2500 0.6569 0.3436
Hg2 0.7500 0.3436 0.6569

---

- Look up the calculated total energy of the fifth one.
  -1.523 eV per atom

---

- calculated total energy of number 1 (BaMgHg)?
  -1.542 eV per atom